A plane-wave DFT calculation with PBE was carried out for an optimized crystal structure of CsRb2Br2.

Lattice parameters (Å, degrees): 9.7632 9.7632 5.0494 90.00 90.00 90.00
Last column: nearest neighbours and their distance in Å.
Space group P4/mbm (No. 127)
Symmetry-distinct sites (fractional):
1 Cs 0.0000 0.0000 0.0000  4 Br 3.69
2 Rb 0.1495 0.3505 0.5000  6 Br 3.70-3.90, 1 Rb 4.13
3 Br 0.1546 0.6546 0.0000  2 Cs 3.69, 6 Rb 3.70-3.90

Crystal system   tetragonal
E above lowest polymorph   33 meV/atom
ρ   3.199 g/cm³
DOS(E_F)   2.3 states/eV per cell
Raw total energy   -0.1837 Ry per atom
Formation energy (no corrections)   -1.273 eV per atom

---

A plane-wave DFT calculation with PBE was carried out for an optimized crystal structure of Mg6CuPt.

Lattice parameters (Å, degrees): 6.0612 10.2371 6.0653 90.00 113.53 90.00
Last column: nearest neighbours and their distance in Å.
Space group C2/m (No. 12)
Symmetry-distinct sites (fractional):
1 Mg 0.2480 0.0000 0.2513  1 Cu 2.52, 1 Pt 2.55
2 Mg 0.2478 0.1952 0.7481  1 Cu 2.59, 1 Pt 2.61
3 Cu 0.0000 0.0000 0.5000  6 Mg 2.52-2.59
4 Pt 0.0000 0.5000 0.0000  6 Mg 2.55-2.61

Energy of formation   -0.101 eV per atom
Crystal system   monoclinic
ρ   3.893 g/cm³
DOS(E_F)   6.5 states/eV per cell
Raw total energy   -0.1884 Ry per atom

---

A plane-wave DFT calculation with PBE was carried out for an optimized crystal structure of In3NiAs.

Lattice parameters (Å, degrees): 4.9421 4.9421 4.9421 90.00 90.00 90.00
Last column: nearest neighbours and their distance in Å.
Space group Pm-3m (No. 221)
Symmetry-distinct sites (fractional):
1 In 0.0000 0.0000 0.5000  2 Ni 2.47
2 Ni 0.0000 0.0000 0.0000  6 In 2.47
3 As 0.5000 0.5000 0.5000  12 In 3.49

Energy of formation   0.150 eV per atom
Crystal system   cubic
E above lowest polymorph   0 meV/atom
ρ   6.577 g/cm³
DOS(E_F)   4.3 states/eV per cell
Raw total energy   -0.2631 Ry per atom

---

A plane-wave DFT calculation with PBE was carried out for an optimized crystal structure of Sc4PdRu3.

Lattice parameters (Å, degrees): 4.5660 4.5660 6.4549 90.00 90.00 90.00
Last column: nearest neighbours and their distance in Å.
Space group P4/mmm (No. 123)
Symmetry-distinct sites (fractional):
1 Sc 0.0000 0.5000 0.2425  6 Ru 2.77-2.82, 2 Pd 2.82
2 Pd 0.0000 0.0000 0.5000  8 Sc 2.82
3 Ru 0.0000 0.0000 0.0000  8 Sc 2.77
4 Ru 0.5000 0.5000 0.0000  8 Sc 2.77
5 Ru 0.5000 0.5000 0.5000  8 Sc 2.82

Energy of formation   -0.687 eV per atom
Crystal system   tetragonal
ρ   7.273 g/cm³
DOS(E_F)   4.6 states/eV per cell
Raw total energy   -0.5865 Ry per atom

---

A plane-wave DFT calculation with PBE was carried out for an optimized crystal structure of Rb2CeBr2F4.

Lattice parameters (Å, degrees): 7.1981 7.1981 9.7553 90.00 90.00 90.00
Last column: nearest neighbours and their distance in Å.
Space group I4/mmm (No. 139)
Symmetry-distinct sites (fractional):
1 Rb 0.0000 0.5000 0.2500  8 F 3.55, 4 Br 3.62
2 Ce 0.0000 0.0000 0.0000  4 F 2.13
3 Br 0.0000 0.0000 0.2918  1 Ce 2.85
4 F 0.2096 0.2096 0.0000  1 Ce 2.13

Crystal system   tetragonal
ρ   3.593 g/cm³
DOS(E_F)   0.0 states/eV per cell
Raw total energy   -0.3568 Ry per atom
Formation energy (no corrections)   -2.777 eV per atom

---

A plane-wave DFT calculation with PBE was carried out for an optimized crystal structure of CsK2Al.

Lattice parameters (Å, degrees): 7.5305 7.7176 8.6965 86.86 77.00 74.95
Last column: nearest neighbours and their distance in Å.
Space group P-1 (No. 2)
Symmetry-distinct sites (fractional):
1 Cs 0.0959 0.4027 0.2528  3 Al 3.97-4.15, 1 Cs 4.43
2 K 0.2698 0.8621 0.9516  2 Al 3.76-3.87, 1 K 3.99
3 K 0.4722 0.7823 0.3884  2 Al 3.68-3.69
4 Al 0.0317 0.0609 0.6227  1 Al 2.56

Energy of formation   0.176 eV per atom
Crystal system   triclinic
E above lowest polymorph   0 meV/atom
ρ   1.663 g/cm³
DOS(E_F)   5.2 states/eV per cell
Raw total energy   -0.1118 Ry per atom

---

A plane-wave DFT calculation with PBE was carried out for an optimized crystal structure of Co3SiSn.

Lattice parameters (Å, degrees): 4.1936 4.1936 4.1936 90.00 90.00 90.00
Last column: nearest neighbours and their distance in Å.
Space group Pm-3m (No. 221)
Symmetry-distinct sites (fractional):
1 Co 0.0000 0.0000 0.5000  2 Si 2.10
2 Si 0.0000 0.0000 0.0000  6 Co 2.10
3 Sn 0.5000 0.5000 0.5000  12 Co 2.97

Crystal system   cubic
E above lowest polymorph   0 meV/atom
ρ   7.286 g/cm³
DOS(E_F)   5.3 states/eV per cell
Raw total energy   -0.4271 Ry per atom
Formation energy (no corrections)   0.337 eV per atom

---

A plane-wave DFT calculation with PBE was carried out for an optimized crystal structure of Th2PaIn.

Lattice parameters (Å, degrees): 4.0299 4.0299 7.0677 90.00 90.00 90.00
Last column: nearest neighbours and their distance in Å.
Space group P4/mmm (No. 123)
Symmetry-distinct sites (fractional):
1 Th 0.0000 0.0000 0.2486  4 Pa 3.35, 4 In 3.36, 2 Th 3.51-3.55
2 Pa 0.5000 0.5000 0.0000  8 Th 3.35, 2 In 3.53
3 In 0.5000 0.5000 0.5000  8 Th 3.36, 2 Pa 3.53

Energy of formation   0.010 eV per atom
Crystal system   tetragonal
E above lowest polymorph   41 meV/atom
ρ   11.717 g/cm³
DOS(E_F)   6.0 states/eV per cell
Raw total energy   -0.4968 Ry per atom